Entry 1:
Computed, not measured: an optimized crystal structure of MgIn2Te at the PBE level of DFT.

Geometry as extended XYZ:
```
4
Lattice="5.355 0.000 0.000 2.677 4.637 0.000 2.677 1.546 4.372" Properties=species:S:1:pos:R:3 pbc="T T T"
Te 8.032 4.637 3.279
In 0.000 0.000 0.000
In 2.677 1.546 1.093
Mg 5.355 3.092 2.186
```

Calculated values
**Density of states at the Fermi level**: 0.786 states/eV/atom
**Magnetic moment**: 0.0 μB per formula unit
**SG**: F-43m (216)
**Energy relative to the elements, uncorrected**: -0.023 eV/atom

Entry 2:
Computed, not measured: an optimized crystal structure of MgInTe2 at the PBE level of DFT.

Geometry as extended XYZ:
```
4
Lattice="3.364 0.104 0.000 -0.648 3.303 0.000 0.000 0.000 10.235" Properties=species:S:1:pos:R:3 pbc="T T T"
Mg 1.358 1.704 7.632
Te 0.000 0.000 9.566
Te 1.358 1.704 2.953
In 0.000 0.000 5.436
```

Calculated values
**Density of states at the Fermi level**: 0.607 states/eV/atom
**Magnetic moment**: 0.0 μB per formula unit
**SG**: Cmm2 (35)
**Energy relative to the elements, uncorrected**: -0.088 eV/atom

Entry 3:
Computed, not measured: an optimized crystal structure of Mg2InTe2 at the PBE level of DFT.

Geometry as extended XYZ:
```
10
Lattice="8.228 0.000 0.000 0.000 8.228 0.000 0.000 0.000 3.923" Properties=species:S:1:pos:R:3 pbc="T T T"
Te 1.368 5.482 1.961
Te 6.861 2.746 1.961
Te 2.746 1.368 1.961
Te 5.482 6.861 1.961
Mg 7.121 5.222 0.000
Mg 1.108 3.006 0.000
Mg 3.006 7.121 0.000
Mg 5.222 1.108 0.000
In 4.114 4.114 0.000
In 0.000 0.000 0.000
```

Calculated values
**Density of states at the Fermi level**: 0.298 states/eV/atom
**Magnetic moment**: 0.0 μB per formula unit
**SG**: P4/mbm (127)
**Energy relative to the elements, uncorrected**: -0.391 eV/atom

Entry 4:
Computed, not measured: an optimized crystal structure of MgInTe2 at the PBE level of DFT.

Geometry as extended XYZ:
```
8
Lattice="-0.534 5.986 -3.035 -4.509 -2.575 -4.287 -7.607 3.437 0.649" Properties=species:S:1:pos:R:3 pbc="T T T"
Te -7.711 3.792 -2.368
Te -2.785 4.127 -2.194
Te -4.800 0.150 -2.973
Te -10.003 5.628 -5.811
In 0.000 0.000 0.000
In -5.331 5.565 -3.024
Mg -7.319 1.284 -3.649
Mg -2.521 1.706 -3.661
```

Calculated values
**Density of states at the Fermi level**: 0.694 states/eV/atom
**Magnetic moment**: 0.0 μB per formula unit
**SG**: I-42d (122)
**Energy relative to the elements, uncorrected**: -0.440 eV/atom

Entry 5:
Computed, not measured: an optimized crystal structure of MgInTe2 at the PBE level of DFT.

Geometry as extended XYZ:
```
4
Lattice="-3.755 -3.821 0.746 0.197 -3.167 4.380 -3.691 0.563 3.912" Properties=species:S:1:pos:R:3 pbc="T T T"
Te 0.000 0.000 0.000
Te -5.437 -4.818 6.779
In -3.624 -3.212 4.519
Mg -1.812 -1.606 2.260
```

Calculated values
**Density of states at the Fermi level**: 0.702 states/eV/atom
**Magnetic moment**: 0.0 μB per formula unit
**SG**: F-43m (216)
**Energy relative to the elements, uncorrected**: 0.019 eV/atom

Entry 6:
Computed, not measured: an optimized crystal structure of MgInTe2 at the PBE level of DFT.

Geometry as extended XYZ:
```
4
Lattice="4.249 -0.026 -0.627 2.102 3.693 -0.627 1.068 0.616 7.206" Properties=species:S:1:pos:R:3 pbc="T T T"
Te 6.909 3.989 4.354
Te 2.097 1.210 1.285
Mg 5.036 2.908 6.422
In 4.503 2.600 2.819
```

Calculated values
**Density of states at the Fermi level**: 0.341 states/eV/atom
**Magnetic moment**: 0.0 μB per formula unit
**SG**: P-3m1 (164)
**Energy relative to the elements, uncorrected**: -0.511 eV/atom

Entry 7:
Computed, not measured: an optimized crystal structure of MgInTe at the PBE level of DFT.

Geometry as extended XYZ:
```
3
Lattice="6.356 -0.040 0.044 5.187 3.674 0.037 1.169 0.376 3.695" Properties=species:S:1:pos:R:3 pbc="T T T"
In 11.483 3.615 0.103
Mg 4.264 1.348 2.617
Te 8.510 2.682 1.139
```

Calculated values
**Density of states at the Fermi level**: 0.418 states/eV/atom
**Magnetic moment**: 0.0 μB per formula unit
**SG**: I4mm (107)
**Energy relative to the elements, uncorrected**: -0.203 eV/atom

Entry 8:
Computed, not measured: an optimized crystal structure of MgInTe2 at the PBE level of DFT.

Geometry as extended XYZ:
```
4
Lattice="-3.737 0.880 -0.634 -0.895 -1.569 3.101 0.987 6.920 3.785" Properties=species:S:1:pos:R:3 pbc="T T T"
Te 0.961 6.738 3.685
Te 0.519 3.643 1.992
In -2.070 1.386 2.180
Mg -1.576 4.846 4.072
```

Calculated values
**Density of states at the Fermi level**: 0.503 states/eV/atom
**Magnetic moment**: 0.0 μB per formula unit
**SG**: Pmmm (47)
**Energy relative to the elements, uncorrected**: -0.247 eV/atom

Entry 9:
Computed, not measured: an optimized crystal structure of MgInTe2 at the PBE level of DFT.

Geometry as extended XYZ:
```
4
Lattice="-5.278 -1.385 -1.994 1.221 -5.673 0.277 -0.629 4.338 3.813" Properties=species:S:1:pos:R:3 pbc="T T T"
Te -0.110 -0.192 -0.047
Te -1.918 -3.337 -0.812
Mg -0.718 -2.432 1.616
In -3.968 -0.288 0.480
```

Calculated values
**Density of states at the Fermi level**: 0.469 states/eV/atom
**Magnetic moment**: 0.0 μB per formula unit
**SG**: Immm (71)
**Energy relative to the elements, uncorrected**: -0.271 eV/atom

Entry 10:
Computed, not measured: an optimized crystal structure of MgInTe at the PBE level of DFT.

Geometry as extended XYZ:
```
12
Lattice="-0.985 2.496 -3.483 -0.881 -4.307 -0.062 -20.193 4.006 8.585" Properties=species:S:1:pos:R:3 pbc="T T T"
Te -9.820 -0.273 2.583
Te -12.240 2.468 2.457
Te -6.069 -1.017 0.988
Te -15.991 3.212 4.052
Mg -1.765 0.390 -1.996
Mg -20.294 1.805 7.036
Mg -4.926 1.017 -0.652
Mg -17.133 1.178 5.692
In -8.473 1.721 0.856
In -13.586 0.475 4.184
In -3.130 -1.600 -0.261
In -18.929 3.795 5.301
```

Calculated values
**Density of states at the Fermi level**: 0.081 states/eV/atom
**Magnetic moment**: 0.0 μB per formula unit
**SG**: P-3m1 (164)
**Energy relative to the elements, uncorrected**: -0.167 eV/atom

Entry 11:
Computed, not measured: an optimized crystal structure of MgInTe2 at the PBE level of DFT.

Geometry as extended XYZ:
```
4
Lattice="4.100 -0.078 0.000 -1.715 3.725 0.000 0.000 0.000 8.235" Properties=species:S:1:pos:R:3 pbc="T T T"
Mg 1.193 1.824 6.177
Te 0.000 0.000 4.303
Te 0.000 0.000 8.050
In 1.193 1.824 2.059
```

Calculated values
**Density of states at the Fermi level**: 0.449 states/eV/atom
**Magnetic moment**: 0.0 μB per formula unit
**SG**: Cmmm (65)
**Energy relative to the elements, uncorrected**: -0.268 eV/atom

Entry 12:
Computed, not measured: an optimized crystal structure of MgIn2Te at the PBE level of DFT.

Geometry as extended XYZ:
```
4
Lattice="3.214 0.000 0.000 0.000 5.161 0.000 0.000 0.000 6.595" Properties=species:S:1:pos:R:3 pbc="T T T"
In 0.000 0.000 0.079
In 0.000 0.000 3.219
Te 1.607 2.580 4.946
Mg 1.607 2.580 1.649
```

Calculated values
**Density of states at the Fermi level**: 0.248 states/eV/atom
**Magnetic moment**: 0.0 μB per formula unit
**SG**: Pmmm (47)
**Energy relative to the elements, uncorrected**: -0.038 eV/atom

Among the records above, which one has the highest energy relative to the elements, uncorrected? number 5

What is the energy relative to the elements, uncorrected in the first record? -0.023 eV/atom

What did the sixth record say?
Computed, not measured: an optimized crystal structure of MgInTe2 at the PBE level of DFT.

Geometry as extended XYZ:
```
4
Lattice="4.249 -0.026 -0.627 2.102 3.693 -0.627 1.068 0.616 7.206" Properties=species:S:1:pos:R:3 pbc="T T T"
Te 6.909 3.989 4.354
Te 2.097 1.210 1.285
Mg 5.036 2.908 6.422
In 4.503 2.600 2.819
```

Calculated values
**Density of states at the Fermi level**: 0.341 states/eV/atom
**Magnetic moment**: 0.0 μB per formula unit
**SG**: P-3m1 (164)
**Energy relative to the elements, uncorrected**: -0.511 eV/atom